Density functional theory data (PBE) for CeSmNi17 after structural relaxation.

a b c (Å): 6.271 6.271 6.271
angles (deg): 83.06 83.06 83.06
Sites, in units of the cell vectors:
Ni 0.345 0.848 0.345
Ni 0.292 0.707 0.001
Ni 0.848 0.345 0.345
Ni 0.101 0.101 0.101
Ni 0.707 0.001 0.292
Ni 0.999 0.999 0.501
Ni 0.654 0.155 0.654
Ni 0.501 0.999 0.999
Ni 0.999 0.501 0.999
Ni 0.001 0.707 0.292
Ni 0.902 0.902 0.902
Ni 0.707 0.292 0.001
Ni 0.001 0.292 0.707
Ni 0.155 0.654 0.654
Ni 0.654 0.654 0.155
Ni 0.345 0.345 0.848
Ni 0.292 0.001 0.707
Ce 0.339 0.339 0.339
Sm 0.661 0.661 0.661

Values from the calculation:
Total magnetization   6.21 μB/cell
VASP energy   -112.49 eV for the cell shown
ΔH_f (0 K)   -18 kJ per mole of atoms
Space-group type   R3m